1:
Below is crystalline AgIrI2N at its relaxed geometry, with properties calculated at the GGA-PBE level.

Cell: 5.656 5.656 3.768 Å, 90.00 90.00 90.00°
Space group P4/mmm (No. 123)
Symmetry-distinct sites (fractional):
Ag (0.000, 0.000, 0.000) (multiplicity 1)
Ir (0.500, 0.500, 0.500) (multiplicity 1)
I (0.000, 0.500, 0.000) (multiplicity 2)
N (0.000, 0.000, 0.500) (multiplicity 1)

Output
* V: 24.1 A^3/atom
* M_tot: 0.3 μB/f.u.
* DOS(E_F): 6.7 states/eV/cell

---

2:
Below is crystalline AgIrI2N at its relaxed geometry, with properties calculated at the GGA-PBE level.

Cell: 5.701 5.701 3.719 Å, 90.00 90.00 90.00°
Space group P4/mmm (No. 123)
Symmetry-distinct sites (fractional):
Ag (0.000, 0.000, 0.000) (multiplicity 1)
Ir (0.500, 0.500, 0.500) (multiplicity 1)
I (0.000, 0.500, 0.500) (multiplicity 2)
N (0.500, 0.500, 0.000) (multiplicity 1)

Output
* V: 24.2 A^3/atom
* M_tot: 0.0 μB/f.u.
* DOS(E_F): 1.9 states/eV/cell

---

Of them, the most stable is 2 and the least stable is 1.

---

1:
Below is crystalline AgSb2IrI at its relaxed geometry, with properties calculated at the GGA-PBE level.

Cell: 5.107 5.107 5.828 Å, 90.00 90.00 90.00°
Space group P4/mmm (No. 123)
Symmetry-distinct sites (fractional):
Ag (0.000, 0.000, 0.000) (multiplicity 1)
Sb (0.000, 0.500, 0.500) (multiplicity 2)
Ir (0.500, 0.500, 0.500) (multiplicity 1)
I (0.500, 0.500, 0.000) (multiplicity 1)

Output
* V: 30.4 A^3/atom
* M_tot: 0.0 μB/f.u.
* DOS(E_F): 3.3 states/eV/cell

---

2:
Below is crystalline AgSb2IrI at its relaxed geometry, with properties calculated at the GGA-PBE level.

Cell: 5.262 5.262 5.400 Å, 90.00 90.00 90.00°
Space group P4/mmm (No. 123)
Symmetry-distinct sites (fractional):
Ag (0.000, 0.000, 0.000) (multiplicity 1)
Sb (0.000, 0.500, 0.000) (multiplicity 2)
Ir (0.500, 0.500, 0.500) (multiplicity 1)
I (0.000, 0.000, 0.500) (multiplicity 1)

Output
* V: 29.9 A^3/atom
* M_tot: 0.9 μB/f.u.
* DOS(E_F): 5.7 states/eV/cell

---

Of them, the most stable is 1 and the least stable is 2.